# 1
DFT (PBE) results for ReNiIr2 after structural relaxation.

Unit cell a=4.6314 b=4.6314 c=4.6314 alpha=131.10 beta=131.10 gamma=71.66
Last column: nearest neighbours and their distance in Å.
Atoms (fractional coordinates):
Ni  0.2500  0.7500  0.5000  8 Ir 2.68, 4 Re 2.71
Ir  0.0000  0.0000  0.0000  4 Re 2.68, 4 Ni 2.68, 4 Ir 2.71
Ir  0.5000  0.5000  0.0000  4 Re 2.68, 4 Ni 2.68, 4 Ir 2.71
Re  0.7500  0.2500  0.5000  8 Ir 2.68, 4 Ni 2.71

Calculated values
For the density of states at the Fermi level, the calculation gives 1.09 states/eV/atom. As for the space group: I4/mmm (139). As for the offset from the most stable computed form: 4.6 kJ/mol of atoms. The calculation puts the total moment at 0.00 μB per formula unit. As for the energy relative to the elements: -0.097 eV per atom.



# 2
DFT (PBE) results for SrCaAs2 after structural relaxation.

Unit cell a=6.0589 b=6.0589 c=4.5937 alpha=80.23 beta=80.23 gamma=41.50
Last column: nearest neighbours and their distance in Å.
Atoms (fractional coordinates):
Ca  0.5035  0.5035  0.6209  7 As 3.03-3.33, 1 Sr 3.38
As  0.9694  0.9694  0.1772  1 As 2.55
As  0.7826  0.7826  0.5816  1 As 2.55
Sr  0.2445  0.2445  0.1203  7 As 3.08-3.38, 1 Ca 3.38

Calculated values
For the density of states at the Fermi level, the calculation gives 0.15 states/eV/atom. As for the space group: Cm (8). As for the offset from the most stable computed form: 0.0 kJ/mol of atoms. The calculation puts the total moment at 0.00 μB per formula unit. As for the energy relative to the elements: -0.971 eV per atom.



# 3
DFT (PBE) results for NaInFe2Bi after structural relaxation.

Unit cell a=4.8195 b=5.4055 c=4.8195 alpha=90.00 beta=90.00 gamma=90.00
Last column: nearest neighbours and their distance in Å.
Atoms (fractional coordinates):
Fe  0.5000  0.0000  0.0000  2 Na 2.41
Fe  0.0000  0.0000  0.5000  2 Na 2.41
Na  0.0000  0.0000  0.0000  4 Fe 2.41
In  0.5000  0.5000  0.5000  4 Bi 3.41, 8 Fe 3.62
Bi  0.0000  0.5000  0.0000  2 Na 2.70

Calculated values
For the density of states at the Fermi level, the calculation gives 1.15 states/eV/atom. As for the space group: P4/mmm (123). The calculation puts the total moment at 6.30 μB per formula unit. As for the energy relative to the elements: 1.433 eV per atom.



# 4
DFT (PBE) results for ScInNiRu after structural relaxation.

Unit cell a=4.5080 b=4.5080 c=4.5080 alpha=60.00 beta=60.00 gamma=60.00
Last column: nearest neighbours and their distance in Å.
Atoms (fractional coordinates):
Ni  0.2500  0.2500  0.2500  4 In 2.76, 4 Sc 2.76
Sc  0.0000  0.0000  0.0000  4 Ru 2.76, 4 Ni 2.76
Ru  0.7500  0.7500  0.7500  4 Sc 2.76, 4 In 2.76
In  0.5000  0.5000  0.5000  4 Ru 2.76, 4 Ni 2.76

Calculated values
For the density of states at the Fermi level, the calculation gives 0.39 states/eV/atom. As for the space group: F-43m (216). As for the offset from the most stable computed form: 3.2 kJ/mol of atoms. The calculation puts the total moment at 0.00 μB per formula unit. As for the energy relative to the elements: -0.377 eV per atom.



# 5
DFT (PBE) results for TmVTcOs after structural relaxation.

Unit cell a=4.5037 b=4.5037 c=4.5037 alpha=60.00 beta=60.00 gamma=60.00
Last column: nearest neighbours and their distance in Å.
Atoms (fractional coordinates):
Os  0.5000  0.5000  0.5000  4 V 2.76, 4 Tm 2.76
Tc  0.0000  0.0000  0.0000  4 V 2.76, 4 Tm 2.76
V  0.7500  0.7500  0.7500  4 Tc 2.76, 4 Os 2.76
Tm  0.2500  0.2500  0.2500  4 Os 2.76, 4 Tc 2.76

Calculated values
For the density of states at the Fermi level, the calculation gives 1.05 states/eV/atom. As for the space group: F-43m (216). The calculation puts the total moment at 0.00 μB per formula unit. As for the energy relative to the elements: -0.079 eV per atom.



# 6
DFT (PBE) results for Y2GaHPt6 after structural relaxation.

Unit cell a=5.6352 b=6.9847 c=6.9849 alpha=47.58 beta=66.21 gamma=90.01
Last column: nearest neighbours and their distance in Å.
Atoms (fractional coordinates):
Pt  0.2314  0.7687  0.0394  1 H 2.02
Pt  0.7685  0.7295  0.4626  1 H 2.02
Pt  0.7297  0.7686  0.0392  1 H 2.02
Pt  0.2703  0.2314  0.9608  1 H 2.02
Pt  0.2315  0.2705  0.5374  1 H 2.02
Pt  0.7686  0.2313  0.9606  1 H 2.02
Y  0.7860  0.2141  0.4283  9 Pt 3.00-3.23
Y  0.2140  0.7859  0.5717  9 Pt 3.00-3.23
H  0.0000  0.0000  0.0000  6 Pt 2.02
Ga  0.5000  0.5000  0.0000  6 Pt 2.50

Calculated values
For the density of states at the Fermi level, the calculation gives 0.33 states/eV/atom. The total energy is -6.390 eV/atom. As for the space group: R-3m (166). The calculation puts the total moment at 0.00 μB per formula unit.



# 7
DFT (PBE) results for Pr3AgSn after structural relaxation.

Unit cell a=6.4903 b=9.0482 c=11.8843 alpha=120.51 beta=90.00 gamma=90.00
Last column: nearest neighbours and their distance in Å.
Atoms (fractional coordinates):
Sn  0.2656  0.4963  0.8391  3 Ag 3.11-3.37, 7 Pr 3.28-3.46
Sn  0.7656  0.0037  0.6609  3 Ag 3.11-3.37, 7 Pr 3.28-3.46
Sn  0.7344  0.5037  0.1609  3 Ag 3.11-3.37, 7 Pr 3.28-3.46
Sn  0.2344  0.9963  0.3391  3 Ag 3.11-3.37, 7 Pr 3.28-3.46
Pr  0.9902  0.1407  0.9487  2 Ag 3.29-3.48, 2 Sn 3.32-3.39, 3 Pr 3.34-3.68
Pr  0.2294  0.5629  0.1460  3 Ag 3.11-3.23, 4 Sn 3.28-3.39
Pr  0.5098  0.6407  0.4487  2 Ag 3.29-3.48, 2 Sn 3.32-3.39, 3 Pr 3.34-3.68
Pr  0.4790  0.1739  0.1765  2 Ag 3.22-3.24, 2 Sn 3.46-3.50
Pr  0.0098  0.8593  0.0513  2 Ag 3.29-3.48, 2 Sn 3.32-3.39, 3 Pr 3.34-3.68
Pr  0.5210  0.8261  0.8235  2 Ag 3.22-3.24, 2 Sn 3.46-3.50
Pr  0.2706  0.0629  0.6460  3 Ag 3.11-3.23, 4 Sn 3.28-3.39
Pr  0.4902  0.3593  0.5513  2 Ag 3.29-3.48, 2 Sn 3.32-3.39, 3 Pr 3.34-3.68
Pr  0.7294  0.9371  0.3540  3 Ag 3.11-3.23, 4 Sn 3.28-3.39
Pr  0.9790  0.3261  0.3235  2 Ag 3.22-3.24, 2 Sn 3.46-3.50
Pr  0.0210  0.6739  0.6765  2 Ag 3.22-3.24, 2 Sn 3.46-3.50
Pr  0.7706  0.4371  0.8540  3 Ag 3.11-3.23, 4 Sn 3.28-3.39
Ag  0.0249  0.7298  0.4282  7 Pr 3.11-3.48, 3 Sn 3.11-3.37
Ag  0.9751  0.2702  0.5718  7 Pr 3.11-3.48, 3 Sn 3.11-3.37
Ag  0.4751  0.2298  0.9282  7 Pr 3.11-3.48, 3 Sn 3.11-3.37
Ag  0.5249  0.7702  0.0718  7 Pr 3.11-3.48, 3 Sn 3.11-3.37

Calculated values
For the density of states at the Fermi level, the calculation gives 1.20 states/eV/atom. As for the space group: P2_1/c (14). The calculation puts the total moment at 0.00 μB per formula unit. As for the energy relative to the elements: -0.388 eV per atom.



# 8
DFT (PBE) results for Er12Ga6Pb after structural relaxation.

Unit cell a=8.6602 b=8.6602 c=8.6602 alpha=109.47 beta=109.47 gamma=109.47
Last column: nearest neighbours and their distance in Å.
Atoms (fractional coordinates):
Er  0.8937  0.1893  0.7044  3 Ga 2.78-3.04
Er  0.7044  0.5152  0.8107  3 Ga 2.78-3.04
Er  0.8107  0.7044  0.5152  3 Ga 2.78-3.04
Er  0.1893  0.2956  0.4848  3 Ga 2.78-3.04
Er  0.2956  0.4848  0.1893  3 Ga 2.78-3.04
Er  0.7044  0.8937  0.1893  3 Ga 2.78-3.04
Er  0.4848  0.1893  0.2956  3 Ga 2.78-3.04
Er  0.5152  0.8107  0.7044  3 Ga 2.78-3.04
Er  0.1893  0.7044  0.8937  3 Ga 2.78-3.04
Er  0.1063  0.8107  0.2956  3 Ga 2.78-3.04
Er  0.8107  0.2956  0.1063  3 Ga 2.78-3.04
Er  0.2956  0.1063  0.8107  3 Ga 2.78-3.04
Pb  0.0000  0.0000  0.0000  12 Er 3.51
Ga  0.5000  0.8774  0.3774  1 Ga 2.45
Ga  0.5000  0.1226  0.6226  1 Ga 2.45
Ga  0.1226  0.6226  0.5000  1 Ga 2.45
Ga  0.8774  0.3774  0.5000  1 Ga 2.45
Ga  0.3774  0.5000  0.8774  1 Ga 2.45
Ga  0.6226  0.5000  0.1226  1 Ga 2.45

Calculated values
For the density of states at the Fermi level, the calculation gives 0.91 states/eV/atom. As for the space group: Im-3 (204). The calculation puts the total moment at 0.00 μB per formula unit. As for the energy relative to the elements: -0.385 eV per atom.



# 9
DFT (PBE) results for BaInCo after structural relaxation.

Unit cell a=4.4926 b=4.4926 c=4.9703 alpha=90.00 beta=90.00 gamma=120.00
Last column: nearest neighbours and their distance in Å.
Atoms (fractional coordinates):
Co  0.6667  0.3333  0.4999  3 In 2.59
In  0.3333  0.6667  0.5000  3 Co 2.59
Ba  0.0000  0.0000  0.0001  6 Co 3.59, 6 In 3.59

Calculated values
For the density of states at the Fermi level, the calculation gives 0.92 states/eV/atom. As for the space group: P-6m2 (187). The calculation puts the total moment at 0.03 μB per formula unit. As for the energy relative to the elements: 0.139 eV per atom.



# 10
DFT (PBE) results for GeBiO2 after structural relaxation.

Unit cell a=4.3324 b=4.3324 c=4.3324 alpha=60.00 beta=60.00 gamma=60.00
Last column: nearest neighbours and their distance in Å.
Atoms (fractional coordinates):
O  0.7500  0.7500  0.7500  4 Bi 2.65, 4 Ge 2.65
O  0.2500  0.2500  0.2500  4 Ge 2.65, 4 Bi 2.65
Ge  0.0000  0.0000  0.0000  8 O 2.65
Bi  0.5000  0.5000  0.5000  8 O 2.65

Calculated values
As for the raw formation energy: -0.305 eV per atom. For the density of states at the Fermi level, the calculation gives 0.39 states/eV/atom. As for the space group: Fm-3m (225). As for the offset from the most stable computed form: 48.0 kJ/mol of atoms. The calculation puts the total moment at 0.00 μB per formula unit.



Repeat the seventh record exactly.
DFT (PBE) results for Pr3AgSn after structural relaxation.

Unit cell a=6.4903 b=9.0482 c=11.8843 alpha=120.51 beta=90.00 gamma=90.00
Last column: nearest neighbours and their distance in Å.
Atoms (fractional coordinates):
Sn  0.2656  0.4963  0.8391  3 Ag 3.11-3.37, 7 Pr 3.28-3.46
Sn  0.7656  0.0037  0.6609  3 Ag 3.11-3.37, 7 Pr 3.28-3.46
Sn  0.7344  0.5037  0.1609  3 Ag 3.11-3.37, 7 Pr 3.28-3.46
Sn  0.2344  0.9963  0.3391  3 Ag 3.11-3.37, 7 Pr 3.28-3.46
Pr  0.9902  0.1407  0.9487  2 Ag 3.29-3.48, 2 Sn 3.32-3.39, 3 Pr 3.34-3.68
Pr  0.2294  0.5629  0.1460  3 Ag 3.11-3.23, 4 Sn 3.28-3.39
Pr  0.5098  0.6407  0.4487  2 Ag 3.29-3.48, 2 Sn 3.32-3.39, 3 Pr 3.34-3.68
Pr  0.4790  0.1739  0.1765  2 Ag 3.22-3.24, 2 Sn 3.46-3.50
Pr  0.0098  0.8593  0.0513  2 Ag 3.29-3.48, 2 Sn 3.32-3.39, 3 Pr 3.34-3.68
Pr  0.5210  0.8261  0.8235  2 Ag 3.22-3.24, 2 Sn 3.46-3.50
Pr  0.2706  0.0629  0.6460  3 Ag 3.11-3.23, 4 Sn 3.28-3.39
Pr  0.4902  0.3593  0.5513  2 Ag 3.29-3.48, 2 Sn 3.32-3.39, 3 Pr 3.34-3.68
Pr  0.7294  0.9371  0.3540  3 Ag 3.11-3.23, 4 Sn 3.28-3.39
Pr  0.9790  0.3261  0.3235  2 Ag 3.22-3.24, 2 Sn 3.46-3.50
Pr  0.0210  0.6739  0.6765  2 Ag 3.22-3.24, 2 Sn 3.46-3.50
Pr  0.7706  0.4371  0.8540  3 Ag 3.11-3.23, 4 Sn 3.28-3.39
Ag  0.0249  0.7298  0.4282  7 Pr 3.11-3.48, 3 Sn 3.11-3.37
Ag  0.9751  0.2702  0.5718  7 Pr 3.11-3.48, 3 Sn 3.11-3.37
Ag  0.4751  0.2298  0.9282  7 Pr 3.11-3.48, 3 Sn 3.11-3.37
Ag  0.5249  0.7702  0.0718  7 Pr 3.11-3.48, 3 Sn 3.11-3.37

Calculated values
For the density of states at the Fermi level, the calculation gives 1.20 states/eV/atom. As for the space group: P2_1/c (14). The calculation puts the total moment at 0.00 μB per formula unit. As for the energy relative to the elements: -0.388 eV per atom.